Entry 1:
Here is a relaxed NaOs2I crystal from Alexandria. Energies are from PBE.

Output
Formation energy (no corrections) (eV/f.u.): 5.919
N(E_F) (states/eV/cell): 1.55
Total moment (μB/f.u.): 0.00
Calculated volume (Å³/atom): 16.59
Excess energy over the best structure of this formula in the dataset (eV/atom): 0.0000

Cell: 4.5439 4.5439 4.5439 Å, 60.00 60.00 60.00°
Closest atoms and distances in Å follow each position.
Sites, in units of the cell vectors:
Na 0.0000 0.0000 0.0000  8 Os 2.78
Os 0.2500 0.2500 0.2500  4 I 2.78, 4 Na 2.78
I 0.5000 0.5000 0.5000  8 Os 2.78
Os 0.7500 0.7500 0.7500  4 I 2.78, 4 Na 2.78

Entry 2:
Here is a relaxed Rb2NaOsI6 crystal from Alexandria. Energies are from PBE.

Output
Formation energy (no corrections) (eV/f.u.): -6.814
N(E_F) (states/eV/cell): 9.47
Total moment (μB/f.u.): 1.00
Calculated volume (Å³/atom): 40.40

Cell: 8.2980 8.2980 8.2978 Å, 60.00 60.00 90.00°
Closest atoms and distances in Å follow each position.
Sites, in units of the cell vectors:
I 0.7685 0.2315 0.0000  1 Os 2.72
I 0.2315 0.2315 0.5369  1 Os 2.72
I 0.7685 0.7685 0.4631  1 Os 2.72
I 0.2315 0.2315 0.0000  1 Os 2.72
I 0.7685 0.7685 0.0000  1 Os 2.72
Rb 0.2500 0.7500 0.5000  12 I 4.15
I 0.2315 0.7685 0.0000  1 Os 2.72
Os 0.0000 0.0000 0.0000  6 I 2.72
Na 0.5000 0.5000 0.0000  6 I 3.15
Rb 0.7500 0.2500 0.5000  12 I 4.15

Entry 3:
Here is a relaxed NaSb2OsI crystal from Alexandria. Energies are from PBE.

Output
Formation energy (no corrections) (eV/f.u.): 8.750
N(E_F) (states/eV/cell): 6.41
Total moment (μB/f.u.): 2.68
Calculated volume (Å³/atom): 31.39
Excess energy over the best structure of this formula in the dataset (eV/atom): 1.4737

Cell: 5.4099 5.4099 5.3620 Å, 90.00 90.00 90.00°
Closest atoms and distances in Å follow each position.
Sites, in units of the cell vectors:
I 0.0000 0.0000 0.5000  2 Na 2.68
Sb 0.0000 0.5000 0.0000  2 Na 2.70
Sb 0.5000 0.0000 0.0000  2 Na 2.70
Os 0.5000 0.5000 0.5000  8 Sb 3.81, 4 I 3.83
Na 0.0000 0.0000 0.0000  2 I 2.68, 4 Sb 2.70

Entry 4:
Here is a relaxed NaSbOsI2 crystal from Alexandria. Energies are from PBE.

Output
Formation energy (no corrections) (eV/f.u.): 7.595
N(E_F) (states/eV/cell): 5.73
Total moment (μB/f.u.): 4.59
Calculated volume (Å³/atom): 36.04
Excess energy over the best structure of this formula in the dataset (eV/atom): 1.2713

Cell: 5.5515 5.5515 5.8465 Å, 90.00 90.00 90.00°
Closest atoms and distances in Å follow each position.
Sites, in units of the cell vectors:
I 0.5000 0.0000 0.0000  2 Na 2.78
Na 0.0000 0.0000 0.0000  4 I 2.78, 2 Sb 2.92
Sb 0.0000 0.0000 0.5000  2 Na 2.92
I 0.0000 0.5000 0.0000  2 Na 2.78
Os 0.5000 0.5000 0.5000  4 Sb 3.93, 8 I 4.03

Entry 5:
Here is a relaxed NaSb2OsI crystal from Alexandria. Energies are from PBE.

Output
Formation energy (no corrections) (eV/f.u.): 1.381
N(E_F) (states/eV/cell): 3.08
Total moment (μB/f.u.): 0.00
Calculated volume (Å³/atom): 31.99
Excess energy over the best structure of this formula in the dataset (eV/atom): 0.0000

Cell: 5.0703 5.0703 6.2223 Å, 90.00 90.00 90.00°
Closest atoms and distances in Å follow each position.
Sites, in units of the cell vectors:
Sb 0.0000 0.5000 0.0000  2 Os 2.54
Os 0.0000 0.0000 0.0000  4 Sb 2.54
Na 0.5000 0.5000 0.5000  4 I 3.59, 8 Sb 4.01
Sb 0.5000 0.0000 0.0000  2 Os 2.54
I 0.0000 0.0000 0.5000  2 Os 3.11

Entry 6:
Here is a relaxed NaSbOsI2 crystal from Alexandria. Energies are from PBE.

Output
Formation energy (no corrections) (eV/f.u.): 1.239
N(E_F) (states/eV/cell): 5.89
Total moment (μB/f.u.): 0.00
Calculated volume (Å³/atom): 33.29
Excess energy over the best structure of this formula in the dataset (eV/atom): 0.0000

Cell: 5.7764 5.7764 4.9878 Å, 90.00 90.00 90.00°
Closest atoms and distances in Å follow each position.
Sites, in units of the cell vectors:
I 0.5000 0.0000 0.0000  2 Os 2.89
Os 0.0000 0.0000 0.0000  2 Sb 2.49
Sb 0.0000 0.0000 0.5000  2 Os 2.49
I 0.0000 0.5000 0.0000  2 Os 2.89
Na 0.5000 0.5000 0.5000  8 I 3.82, 4 Sb 4.08

Entry 7:
Here is a relaxed Na2ScOsI crystal from Alexandria. Energies are from PBE.

Output
Formation energy (no corrections) (eV/f.u.): 5.627
N(E_F) (states/eV/cell): 6.65
Total moment (μB/f.u.): 0.00
Calculated volume (Å³/atom): 30.25

Cell: 5.5459 4.9174 5.5459 Å, 90.00 90.00 90.00°
Closest atoms and distances in Å follow each position.
Sites, in units of the cell vectors:
Na 0.5000 0.0000 0.0000  2 Os 2.77
Sc 0.5000 0.5000 0.5000  8 Na 3.71, 4 I 3.92
Os 0.0000 0.0000 0.0000  2 I 2.46
Na 0.0000 0.0000 0.5000  2 Os 2.77
I 0.0000 0.5000 0.0000  2 Os 2.46

Entry 8:
Here is a relaxed NaTeOsI2 crystal from Alexandria. Energies are from PBE.

Output
Formation energy (no corrections) (eV/f.u.): 7.107
N(E_F) (states/eV/cell): 8.93
Total moment (μB/f.u.): 4.30
Calculated volume (Å³/atom): 36.59
Excess energy over the best structure of this formula in the dataset (eV/atom): 1.2620

Cell: 5.6070 5.6070 5.8189 Å, 90.00 90.00 90.00°
Closest atoms and distances in Å follow each position.
Sites, in units of the cell vectors:
Te 0.0000 0.0000 0.5000  2 Na 2.91
Na 0.0000 0.0000 0.0000  4 I 2.80, 2 Te 2.91
Os 0.5000 0.5000 0.5000  4 Te 3.96, 8 I 4.04
I 0.0000 0.5000 0.0000  2 Na 2.80
I 0.5000 0.0000 0.0000  2 Na 2.80

Entry 9:
Here is a relaxed NaTeOsI2 crystal from Alexandria. Energies are from PBE.

Output
Formation energy (no corrections) (eV/f.u.): 0.797
N(E_F) (states/eV/cell): 3.02
Total moment (μB/f.u.): 0.00
Calculated volume (Å³/atom): 33.65
Excess energy over the best structure of this formula in the dataset (eV/atom): 0.0000

Cell: 5.8188 4.9696 5.8188 Å, 90.00 90.00 90.00°
Closest atoms and distances in Å follow each position.
Sites, in units of the cell vectors:
Te 0.0000 0.5000 0.0000  2 Os 2.48
Na 0.5000 0.5000 0.5000  8 I 3.83, 4 Te 4.11
Os 0.0000 0.0000 0.0000  2 Te 2.48
I 0.0000 0.0000 0.5000  2 Os 2.91
I 0.5000 0.0000 0.0000  2 Os 2.91

Entry 10:
Here is a relaxed NaZnOsI2 crystal from Alexandria. Energies are from PBE.

Output
Formation energy (no corrections) (eV/f.u.): 1.455
N(E_F) (states/eV/cell): 4.45
Total moment (μB/f.u.): 0.04
Calculated volume (Å³/atom): 29.70

Cell: 5.5147 4.8835 5.5147 Å, 90.00 90.00 90.00°
Closest atoms and distances in Å follow each position.
Sites, in units of the cell vectors:
Zn 0.0000 0.5000 0.0000  2 Os 2.44
Na 0.5000 0.5000 0.5000  8 I 3.68, 4 Zn 3.90
I 0.0000 0.0000 0.5000  2 Os 2.76
I 0.5000 0.0000 0.0000  2 Os 2.76
Os 0.0000 0.0000 0.0000  2 Zn 2.44

Entry 11:
Here is a relaxed NaZrOs2I crystal from Alexandria. Energies are from PBE.

Output
Formation energy (no corrections) (eV/f.u.): 8.322
N(E_F) (states/eV/cell): 5.77
Total moment (μB/f.u.): 2.69
Calculated volume (Å³/atom): 32.80

Cell: 4.8833 6.8783 4.8833 Å, 90.00 90.00 90.00°
Closest atoms and distances in Å follow each position.
Sites, in units of the cell vectors:
Na 0.0000 0.5000 0.0000  2 Zr 3.44, 4 I 3.45
Os 0.0000 0.0000 0.5000  2 Zr 2.44
Zr 0.0000 0.0000 0.0000  4 Os 2.44
I 0.5000 0.5000 0.5000  4 Na 3.45
Os 0.5000 0.0000 0.0000  2 Zr 2.44

Entry 12:
Here is a relaxed Na2PI crystal from Alexandria. Energies are from PBE.

Output
Formation energy (no corrections) (eV/f.u.): -0.941
N(E_F) (states/eV/cell): 3.27
Total moment (μB/f.u.): 0.00
Calculated volume (Å³/atom): 27.18
Excess energy over the best structure of this formula in the dataset (eV/atom): 0.0000

Cell: 8.3697 8.3697 6.6827 Å, 51.23 51.23 90.00°
Closest atoms and distances in Å follow each position.
Sites, in units of the cell vectors:
Na 0.3750 0.4165 0.7500  2 P 2.83
I 0.0000 0.0000 0.0000  2 P 3.10, 4 Na 3.31
P 0.2500 0.7500 0.5000  4 Na 2.83, 2 I 3.10
I 0.7500 0.2500 0.5000  2 P 3.10, 4 Na 3.31
Na 0.8750 0.8335 0.7500  2 P 2.83
P 0.5000 0.5000 0.0000  4 Na 2.83, 2 I 3.10
Na 0.5835 0.1250 0.2500  2 P 2.83
Na 0.1665 0.6250 0.2500  2 P 2.83